An optimized crystal structure of Mn4VOs, computed with PBE-GGA. Values from VASP.

- total magnetic moment (Bohr magnetons per cell) = 0.00
- E_tot (eV/atom) = -9.58
- ΔH_f (0 K) (eV/atom) = -0.073

Structure (Quantum ESPRESSO input):
```
&SYSTEM
  ibrav = 0, nat = 6, ntyp = 3
/
ATOMIC_SPECIES
V 50.94 V.upf
Mn 54.94 Mn.upf
Os 190.23 Os.upf
CELL_PARAMETERS angstrom
4.642 0.000 0.000
2.321 4.020 0.000
2.321 1.340 3.790
ATOMIC_POSITIONS angstrom
V 2.321 1.340 0.948
Mn 4.642 1.354 2.364
Mn 4.642 2.680 0.489
Mn 3.494 3.343 2.364
Mn 5.791 3.343 2.364
Os 0.000 0.000 0.000
```